1.
# NaGeClF2 | Alexandria via LeMat-Bulk | PBE | relaxed
data_NaGeClF2
_chemical_formula_sum 'Na2 Ge2 Cl2 F4'
_symmetry_space_group_name_H-M 'P 1'
_symmetry_Int_Tables_number 1
_symmetry_space_group_name_Hall 'P 1'
_cell_length_a 3.884
_cell_length_b 6.365
_cell_length_c 7.701
_cell_angle_alpha 102.71
_cell_angle_beta 90.00
_cell_angle_gamma 90.00
loop_
_atom_site_label
_atom_site_type_symbol
_atom_site_fract_x
_atom_site_fract_y
_atom_site_fract_z
Cl1 Cl 0.750 0.921 0.204
Ge1 Ge 0.750 0.307 0.618
Na1 Na 0.250 0.708 0.927
Cl2 Cl 0.250 0.079 0.796
Ge2 Ge 0.250 0.693 0.382
Na2 Na 0.750 0.292 0.073
F1 F 0.250 0.469 0.603
F2 F 0.750 0.506 0.845
F3 F 0.250 0.494 0.155
F4 F 0.750 0.531 0.397
# Energy = -21.4 eV per formula unit
# Total magnetization = 0.00 μB per cell
# Formation energy (no corrections) = -1.975 eV/atom
# Symmetry = P2_1/m
# V = 18.6 Å³ per atom

---

2.
# Na3GeCl2F6 | Alexandria via LeMat-Bulk | PBE | relaxed
data_Na3GeCl2F6
_chemical_formula_sum 'Na3 Ge1 Cl2 F6'
_symmetry_space_group_name_H-M 'P 1'
_symmetry_Int_Tables_number 1
_symmetry_space_group_name_Hall 'P 1'
_cell_length_a 5.389
_cell_length_b 5.870
_cell_length_c 7.259
_cell_angle_alpha 113.85
_cell_angle_beta 91.28
_cell_angle_gamma 90.00
loop_
_atom_site_label
_atom_site_type_symbol
_atom_site_fract_x
_atom_site_fract_y
_atom_site_fract_z
F1 F 0.279 0.744 0.931
Cl1 Cl 0.969 0.269 0.537
Na1 Na 0.500 0.000 0.500
Ge1 Ge 0.500 0.000 0.000
Na2 Na 0.500 0.500 0.500
F2 F 0.721 0.256 0.069
F3 F 0.398 0.133 0.266
F4 F 0.721 0.812 0.069
Cl2 Cl 0.031 0.731 0.463
F5 F 0.602 0.867 0.734
Na3 Na 0.000 0.500 0.000
F6 F 0.279 0.188 0.931
# Energy = -49.5 eV per formula unit
# Total magnetization = 0.22 μB per cell
# Formation energy (no corrections) = -2.170 eV/atom
# Symmetry = C2/m
# V = 17.5 Å³ per atom

---

3.
# NaGeCl2F | Alexandria via LeMat-Bulk | PBE | relaxed
data_NaGeCl2F
_chemical_formula_sum 'Na1 Ge1 Cl2 F1'
_symmetry_space_group_name_H-M 'P 1'
_symmetry_Int_Tables_number 1
_symmetry_space_group_name_Hall 'P 1'
_cell_length_a 5.318
_cell_length_b 5.318
_cell_length_c 4.243
_cell_angle_alpha 90.00
_cell_angle_beta 90.00
_cell_angle_gamma 90.00
loop_
_atom_site_label
_atom_site_type_symbol
_atom_site_fract_x
_atom_site_fract_y
_atom_site_fract_z
Cl1 Cl 0.000 0.500 0.000
Na1 Na 0.500 0.500 0.500
Cl2 Cl 0.500 0.000 0.000
Ge1 Ge 0.000 0.000 0.000
F1 F 0.000 0.000 0.500
# Energy = -18.8 eV per formula unit
# Total magnetization = 0.00 μB per cell
# Formation energy (no corrections) = -1.457 eV/atom
# Symmetry = P4/mmm
# V = 24.0 Å³ per atom

---

4.
# GePCl2F | Alexandria via LeMat-Bulk | PBE | relaxed
data_GePCl2F
_chemical_formula_sum 'Ge1 P1 Cl2 F1'
_symmetry_space_group_name_H-M 'P 1'
_symmetry_Int_Tables_number 1
_symmetry_space_group_name_Hall 'P 1'
_cell_length_a 5.386
_cell_length_b 5.386
_cell_length_c 3.624
_cell_angle_alpha 90.00
_cell_angle_beta 90.00
_cell_angle_gamma 90.00
loop_
_atom_site_label
_atom_site_type_symbol
_atom_site_fract_x
_atom_site_fract_y
_atom_site_fract_z
Ge1 Ge 0.500 0.500 0.500
Cl1 Cl 0.500 0.000 0.000
Cl2 Cl 0.000 0.500 0.000
F1 F 0.000 0.000 0.000
P1 P 0.000 0.000 0.500
# Offset from the most stable computed form = 0.000 eV per atom
# Energy = -15.3 eV per formula unit
# Total magnetization = 0.58 μB per cell
# Formation energy (no corrections) = 0.064 eV/atom
# Symmetry = P4/mmm
# V = 21.0 Å³ per atom

---

5.
# GePCl2F | Alexandria via LeMat-Bulk | PBE | relaxed
data_GePCl2F
_chemical_formula_sum 'Ge1 P1 Cl2 F1'
_symmetry_space_group_name_H-M 'P 1'
_symmetry_Int_Tables_number 1
_symmetry_space_group_name_Hall 'P 1'
_cell_length_a 4.760
_cell_length_b 4.760
_cell_length_c 5.053
_cell_angle_alpha 90.00
_cell_angle_beta 90.00
_cell_angle_gamma 90.00
loop_
_atom_site_label
_atom_site_type_symbol
_atom_site_fract_x
_atom_site_fract_y
_atom_site_fract_z
Ge1 Ge 0.000 0.000 0.000
P1 P 0.000 0.000 0.500
F1 F 0.500 0.500 0.500
Cl1 Cl 0.000 0.500 0.000
Cl2 Cl 0.500 0.000 0.000
# Offset from the most stable computed form = 0.034 eV per atom
# Energy = -15.1 eV per formula unit
# Total magnetization = 1.28 μB per cell
# Formation energy (no corrections) = 0.098 eV/atom
# Symmetry = P4/mmm
# V = 22.9 Å³ per atom

---

6.
# GePdClF6 | Alexandria via LeMat-Bulk | PBE | relaxed
data_GePdClF6
_chemical_formula_sum 'Ge1 Pd1 Cl1 F6'
_symmetry_space_group_name_H-M 'P 1'
_symmetry_Int_Tables_number 1
_symmetry_space_group_name_Hall 'P 1'
_cell_length_a 5.516
_cell_length_b 5.516
_cell_length_c 6.676
_cell_angle_alpha 90.04
_cell_angle_beta 89.95
_cell_angle_gamma 60.00
loop_
_atom_site_label
_atom_site_type_symbol
_atom_site_fract_x
_atom_site_fract_y
_atom_site_fract_z
F1 F 0.346 0.603 0.345
F2 F 0.051 0.604 0.655
F3 F 0.345 0.051 0.655
Ge1 Ge 0.333 0.333 0.500
Pd1 Pd 0.667 0.667 0.500
F4 F 0.051 0.345 0.345
F5 F 0.604 0.051 0.345
F6 F 0.603 0.346 0.655
Cl1 Cl 0.000 0.000 0.000
# Energy = -36.5 eV per formula unit
# Total magnetization = 3.00 μB per cell
# Formation energy (no corrections) = -1.510 eV/atom
# Symmetry = C2
# V = 19.5 Å³ per atom

---

7.
# Rb2GeCl5F | Alexandria via LeMat-Bulk | PBE | relaxed
data_Rb2GeCl5F
_chemical_formula_sum 'Rb2 Ge1 Cl5 F1'
_symmetry_space_group_name_H-M 'P 1'
_symmetry_Int_Tables_number 1
_symmetry_space_group_name_Hall 'P 1'
_cell_length_a 7.126
_cell_length_b 7.126
_cell_length_c 7.126
_cell_angle_alpha 90.08
_cell_angle_beta 119.95
_cell_angle_gamma 119.95
loop_
_atom_site_label
_atom_site_type_symbol
_atom_site_fract_x
_atom_site_fract_y
_atom_site_fract_z
Cl1 Cl 0.000 0.225 0.762
Cl2 Cl 0.000 0.226 0.226
Ge1 Ge 0.000 0.995 0.995
Rb1 Rb 0.500 0.746 0.246
F1 F 0.000 0.814 0.814
Cl3 Cl 0.000 0.762 0.225
Cl4 Cl 0.537 0.762 0.762
Cl5 Cl 0.463 0.225 0.225
Rb2 Rb 0.500 0.246 0.746
# Energy = -32.0 eV per formula unit
# Total magnetization = 0.00 μB per cell
# Formation energy (no corrections) = -1.599 eV/atom
# Symmetry = I4mm
# V = 28.5 Å³ per atom

---

8.
# Rb2GeClF6 | Alexandria via LeMat-Bulk | PBE | relaxed
data_Rb2GeClF6
_chemical_formula_sum 'Rb2 Ge1 Cl1 F6'
_symmetry_space_group_name_H-M 'P 1'
_symmetry_Int_Tables_number 1
_symmetry_space_group_name_Hall 'P 1'
_cell_length_a 7.193
_cell_length_b 6.740
_cell_length_c 7.171
_cell_angle_alpha 49.75
_cell_angle_beta 49.80
_cell_angle_gamma 58.70
loop_
_atom_site_label
_atom_site_type_symbol
_atom_site_fract_x
_atom_site_fract_y
_atom_site_fract_z
F1 F 0.442 0.285 0.226
F2 F 0.597 0.109 0.907
Ge1 Ge 0.316 0.316 0.052
F3 F 0.190 0.347 0.877
F4 F 0.179 0.017 0.361
Rb1 Rb 0.055 0.080 0.808
Rb2 Rb 0.577 0.552 0.296
F5 F 0.454 0.616 0.742
Cl1 Cl 0.816 0.816 0.552
F6 F 0.035 0.523 0.196
# Offset from the most stable computed form = 0.000 eV per atom
# Energy = -43.2 eV per formula unit
# Total magnetization = 1.01 μB per cell
# Formation energy (no corrections) = -2.354 eV/atom
# Symmetry = P-1
# V = 20.0 Å³ per atom

---

9.
# Rb2GeClF6 | Alexandria via LeMat-Bulk | PBE | relaxed
data_Rb2GeClF6
_chemical_formula_sum 'Rb2 Ge1 Cl1 F6'
_symmetry_space_group_name_H-M 'P 1'
_symmetry_Int_Tables_number 1
_symmetry_space_group_name_Hall 'P 1'
_cell_length_a 6.788
_cell_length_b 6.788
_cell_length_c 6.487
_cell_angle_alpha 58.46
_cell_angle_beta 58.46
_cell_angle_gamma 90.00
loop_
_atom_site_label
_atom_site_type_symbol
_atom_site_fract_x
_atom_site_fract_y
_atom_site_fract_z
F1 F 0.212 0.212 0.577
Rb1 Rb 0.250 0.750 0.500
Cl1 Cl 0.500 0.500 0.000
Ge1 Ge 0.000 0.000 0.000
F2 F 0.810 0.190 0.000
F3 F 0.190 0.190 0.000
Rb2 Rb 0.750 0.250 0.500
F4 F 0.190 0.810 0.000
F5 F 0.788 0.788 0.423
F6 F 0.810 0.810 0.000
# Offset from the most stable computed form = 0.045 eV per atom
# Energy = -42.7 eV per formula unit
# Total magnetization = 1.00 μB per cell
# Formation energy (no corrections) = -2.309 eV/atom
# Symmetry = I4/mmm
# V = 20.1 Å³ per atom

---

10.
# ReGeCl2F | Alexandria via LeMat-Bulk | PBE | relaxed
data_ReGeCl2F
_chemical_formula_sum 'Re1 Ge1 Cl2 F1'
_symmetry_space_group_name_H-M 'P 1'
_symmetry_Int_Tables_number 1
_symmetry_space_group_name_Hall 'P 1'
_cell_length_a 5.373
_cell_length_b 4.227
_cell_length_c 5.373
_cell_angle_alpha 90.00
_cell_angle_beta 90.00
_cell_angle_gamma 90.00
loop_
_atom_site_label
_atom_site_type_symbol
_atom_site_fract_x
_atom_site_fract_y
_atom_site_fract_z
Ge1 Ge 0.000 0.000 0.000
Re1 Re 0.500 0.500 0.500
Cl1 Cl 0.500 0.000 0.000
F1 F 0.000 0.500 0.000
Cl2 Cl 0.000 0.000 0.500
# Energy = -21.3 eV per formula unit
# Total magnetization = 5.99 μB per cell
# Formation energy (no corrections) = 0.274 eV/atom
# Symmetry = P4/mmm
# V = 24.4 Å³ per atom

---

11.
# GeS2Cl3F6 | Alexandria via LeMat-Bulk | PBE | relaxed
data_GeS2Cl3F6
_chemical_formula_sum 'Ge1 S2 Cl3 F6'
_symmetry_space_group_name_H-M 'P 1'
_symmetry_Int_Tables_number 1
_symmetry_space_group_name_Hall 'P 1'
_cell_length_a 5.969
_cell_length_b 6.141
_cell_length_c 9.223
_cell_angle_alpha 109.44
_cell_angle_beta 132.26
_cell_angle_gamma 90.00
loop_
_atom_site_label
_atom_site_type_symbol
_atom_site_fract_x
_atom_site_fract_y
_atom_site_fract_z
F1 F 0.216 0.117 0.792
F2 F 0.784 0.883 0.208
F3 F 0.216 0.675 0.792
F4 F 0.324 0.049 0.098
S1 S 0.892 0.344 0.688
Cl1 Cl 0.500 0.000 0.500
Cl2 Cl 0.000 0.500 0.000
Cl3 Cl 0.500 0.500 0.500
Ge1 Ge 0.500 0.000 0.000
F5 F 0.676 0.951 0.902
F6 F 0.784 0.325 0.208
S2 S 0.108 0.656 0.312
# Energy = -42.3 eV per formula unit
# Total magnetization = 0.84 μB per cell
# Formation energy (no corrections) = -1.055 eV/atom
# Symmetry = C2/m
# V = 18.6 Å³ per atom

---

12.
# GeS2Cl2F2 | Alexandria via LeMat-Bulk | PBE | relaxed
data_GeS2Cl2F2
_chemical_formula_sum 'Ge1 S2 Cl2 F2'
_symmetry_space_group_name_H-M 'P 1'
_symmetry_Int_Tables_number 1
_symmetry_space_group_name_Hall 'P 1'
_cell_length_a 3.352
_cell_length_b 9.158
_cell_length_c 6.250
_cell_angle_alpha 79.43
_cell_angle_beta 74.45
_cell_angle_gamma 79.46
loop_
_atom_site_label
_atom_site_type_symbol
_atom_site_fract_x
_atom_site_fract_y
_atom_site_fract_z
Cl1 Cl 0.432 0.888 0.248
F1 F 0.850 0.159 0.140
S1 S 0.911 0.558 0.619
Ge1 Ge 0.000 0.000 0.000
S2 S 0.089 0.442 0.381
F2 F 0.150 0.841 0.860
Cl2 Cl 0.568 0.112 0.752
# Energy = -26.8 eV per formula unit
# Total magnetization = 1.09 μB per cell
# Formation energy (no corrections) = -0.927 eV/atom
# Symmetry = C2/m
# V = 25.7 Å³ per atom